{"formula": "AgAu2", "functional": "meta-GGA SCAN", "state": "PBEsol geometry", "m_tot_mub_per_atom": 0.000, "de_polymorph_ev_per_atom": 0.083, "crystal_system": "hexagonal", "spacegroup": "P6_3/mmc, No. 194", "total_energy_ev_per_cell": -339.3, "formation_enthalpy_0k_ev_per_atom": 0.0088, "lattice_angstrom": [[4.6368, 0.0000, 0.0000], [-2.3184, 4.0156, 0.0000], [0.0000, 0.0000, 5.4962]], "species": ["Ag", "Ag", "Au", "Au", "Au", "Au"], "fractional_positions": [[0.3333, 0.6667, 0.2500], [0.6667, 0.3333, 0.7500], [0.0000, 0.0000, 0.0000], [0.0000, 0.0000, 0.5000], [0.3333, 0.6667, 0.7500], [0.6667, 0.3333, 0.2500]]}